Entry from OQMD: a relaxed SmTe3PbAu crystal (GGA-PBE).

E ... -4.24 eV/atom
Relative energy among the computed polymorphs ... 10 meV per atom
Crystal system ... orthorhombic

```
SmTe3PbAu
1.0
14.597 0.000 0.000
0.000 4.357 0.000
0.000 0.000 11.859
Sm Te Pb Au
4 12 4 4
direct
0.006 0.250 0.178
0.494 0.750 0.678
0.506 0.250 0.322
0.994 0.750 0.822
0.114 0.250 0.944
0.122 0.750 0.616
0.150 0.750 0.247
0.350 0.250 0.747
0.378 0.250 0.116
0.386 0.750 0.444
0.614 0.250 0.556
0.622 0.750 0.884
0.650 0.750 0.253
0.850 0.250 0.753
0.878 0.250 0.384
0.886 0.750 0.056
0.215 0.250 0.441
0.285 0.750 0.941
0.715 0.250 0.059
0.785 0.750 0.559
0.009 0.750 0.406
0.491 0.250 0.906
0.509 0.750 0.094
0.991 0.250 0.594
```

***

Entry from OQMD: a relaxed PmDyNb crystal (GGA-PBE).

E ... -5.68 eV/atom
Relative energy among the computed polymorphs ... 0 meV per atom
Energy relative to the elements ... 0.805 eV/atom
Crystal system ... cubic

```
PmDyNb
1.0
7.208 0.000 0.000
0.000 7.208 0.000
0.000 0.000 7.208
Pm Dy Nb
4 4 4
direct
0.000 0.000 0.000
0.000 0.500 0.500
0.500 0.000 0.500
0.500 0.500 0.000
0.000 0.000 0.500
0.000 0.500 0.000
0.500 0.000 0.000
0.500 0.500 0.500
0.250 0.250 0.750
0.250 0.750 0.250
0.750 0.250 0.250
0.750 0.750 0.750
```

***

Entry from OQMD: a relaxed ZrGaCuPt crystal (GGA-PBE).

E ... -5.97 eV/atom
Relative energy among the computed polymorphs ... 0 meV per atom
Crystal system ... cubic

```
ZrGaCuPt
1.0
6.380 0.000 0.000
0.000 6.380 0.000
0.000 0.000 6.380
Zr Ga Cu Pt
4 4 4 4
direct
0.000 0.000 0.000
0.000 0.500 0.500
0.500 0.000 0.500
0.500 0.500 0.000
0.000 0.000 0.500
0.000 0.500 0.000
0.500 0.000 0.000
0.500 0.500 0.500
0.250 0.250 0.750
0.250 0.750 0.250
0.750 0.250 0.250
0.750 0.750 0.750
0.250 0.250 0.250
0.250 0.750 0.750
0.750 0.250 0.750
0.750 0.750 0.250
```

***

Entry from OQMD: a relaxed TlZn4P3 crystal (GGA-PBE).

E ... -3.06 eV/atom
Crystal system ... tetragonal

```
TlZn4P3
1.0
4.027 0.000 0.000
0.000 4.027 0.000
0.000 0.000 9.801
Tl Zn P
1 4 3
direct
0.000 0.000 0.000
0.000 0.500 0.337
0.000 0.500 0.663
0.500 0.000 0.337
0.500 0.000 0.663
0.000 0.000 0.500
0.500 0.500 0.201
0.500 0.500 0.799
```

***

Entry from OQMD: a relaxed Ba2DyOsN6 crystal (GGA-PBE).

E ... -7.00 eV/atom
Crystal system ... cubic

```
Ba2DyOsN6
1.0
0.000 4.264 4.264
4.264 0.000 4.264
4.264 4.264 0.000
Ba Dy Os N
2 1 1 6
direct
0.250 0.250 0.250
0.750 0.750 0.750
0.000 0.000 0.000
0.500 0.500 0.500
0.271 0.271 0.729
0.271 0.729 0.271
0.271 0.729 0.729
0.729 0.271 0.271
0.729 0.271 0.729
0.729 0.729 0.271
```

***

Entry from OQMD: a relaxed GaCu10 crystal (GGA-PBE).

E ... -3.58 eV/atom
Crystal system ... monoclinic

```
GaCu10
1.0
3.980 -1.754 0.000
3.980 1.754 0.000
-0.130 0.000 29.259
Ga Cu
2 20
direct
0.152 0.152 0.199
0.848 0.848 0.801
0.046 0.046 0.400
0.051 0.051 0.685
0.147 0.147 0.772
0.149 0.149 0.486
0.252 0.252 0.287
0.254 0.254 0.571
0.346 0.346 0.372
0.353 0.353 0.657
0.448 0.448 0.457
0.449 0.449 0.743
0.551 0.551 0.257
0.552 0.552 0.543
0.647 0.647 0.343
0.654 0.654 0.628
0.746 0.746 0.429
0.748 0.748 0.713
0.851 0.851 0.514
0.853 0.853 0.228
0.949 0.949 0.315
0.954 0.954 0.600
```

***

Entry from OQMD: a relaxed AuO crystal (GGA-PBE).

E ... -3.54 eV/atom
Crystal system ... cubic

```
AuO
1.0
5.085 0.000 0.000
0.000 5.085 0.000
0.000 0.000 5.085
Au O
4 4
direct
0.000 0.000 0.000
0.000 0.500 0.500
0.500 0.000 0.500
0.500 0.500 0.000
0.250 0.250 0.750
0.250 0.750 0.250
0.750 0.250 0.250
0.750 0.750 0.750
```

***

Entry from OQMD: a relaxed RbTbHgS3 crystal (GGA-PBE).

E ... -4.28 eV/atom
Crystal system ... monoclinic

```
RbTbHgS3
1.0
8.416 0.000 0.000
0.000 4.150 0.000
-3.447 0.000 9.910
Rb Tb Hg S
2 2 2 6
direct
0.243 0.250 0.226
0.757 0.750 0.774
0.180 0.750 0.631
0.820 0.250 0.369
0.406 0.250 0.883
0.594 0.750 0.117
0.035 0.750 0.364
0.256 0.750 0.938
0.411 0.250 0.646
0.589 0.750 0.354
0.744 0.250 0.062
0.965 0.250 0.636
```

***

Entry from OQMD: a relaxed Tb2NdIn3Cu2Pt crystal (GGA-PBE).

E ... -4.54 eV/atom
Crystal system ... orthorhombic

```
Tb2NdIn3Cu2Pt
1.0
4.023 0.000 0.000
0.000 6.566 3.800
0.000 -6.566 3.800
Tb Nd In Cu Pt
2 1 3 2 1
direct
0.000 0.202 0.798
0.000 0.798 0.202
0.000 0.609 0.609
0.500 0.199 0.462
0.500 0.462 0.199
0.500 0.942 0.942
0.500 0.533 0.872
0.500 0.872 0.533
0.000 0.198 0.198
```

***

Entry from OQMD: a relaxed Tm2Br crystal (GGA-PBE).

E ... -2.42 eV/atom
Relative energy among the computed polymorphs ... 1126 meV per atom
Crystal system ... cubic

```
Tm2Br
1.0
0.000 6.358 6.358
6.358 0.000 6.358
6.358 6.358 0.000
Tm Br
4 2
direct
0.000 0.000 0.000
0.000 0.000 0.500
0.000 0.500 0.000
0.500 0.000 0.000
0.125 0.125 0.125
0.875 0.875 0.875
```

***

Entry from OQMD: a relaxed CoAsOsPt crystal (GGA-PBE).

E ... -6.96 eV/atom
Relative energy among the computed polymorphs ... 0 meV per atom
Crystal system ... cubic

```
CoAsOsPt
1.0
6.124 0.000 0.000
0.000 6.124 0.000
0.000 0.000 6.124
Co As Os Pt
4 4 4 4
direct
0.000 0.000 0.000
0.000 0.500 0.500
0.500 0.000 0.500
0.500 0.500 0.000
0.250 0.250 0.750
0.250 0.750 0.250
0.750 0.250 0.250
0.750 0.750 0.750
0.000 0.000 0.500
0.000 0.500 0.000
0.500 0.000 0.000
0.500 0.500 0.500
0.250 0.250 0.250
0.250 0.750 0.750
0.750 0.250 0.750
0.750 0.750 0.250
```

***

Entry from OQMD: a relaxed Na2ZrTcO6 crystal (GGA-PBE).

E ... -7.20 eV/atom
Crystal system ... monoclinic

```
Na2ZrTcO6
1.0
5.480 0.000 0.000
0.000 5.561 0.000
-5.455 0.000 7.812
Na Zr Tc O
4 2 2 12
direct
0.243 0.030 0.250
0.243 0.470 0.750
0.757 0.530 0.250
0.757 0.970 0.750
0.500 0.000 0.000
0.500 0.500 0.500
0.000 0.000 0.500
0.000 0.500 0.000
0.154 0.220 0.959
0.154 0.280 0.459
0.240 0.699 0.960
0.240 0.801 0.460
0.317 0.017 0.739
0.317 0.483 0.239
0.683 0.517 0.761
0.683 0.983 0.261
0.760 0.199 0.540
0.760 0.301 0.040
0.846 0.720 0.541
0.846 0.780 0.041
```